No. 1
# Cd4O3F2 PBE relaxed
data_Cd4O3F2
_chemical_formula_sum 'Cd4 O3 F2'
_cell_length_a 5.910
_cell_length_b 5.910
_cell_length_c 8.579
_cell_angle_alpha 121.04
_cell_angle_beta 121.04
_cell_angle_gamma 33.03
_space_group_name_H-M_alt 'P 1'
_space_group_IT_number 1
loop_
_space_group_symop_operation_xyz
'x,y,z'
loop_
_atom_site_label
_atom_site_type_symbol
_atom_site_fract_x
_atom_site_fract_y
_atom_site_fract_z
Cd1 Cd 0.094 0.094 0.397
Cd2 Cd 0.269 0.269 0.207
Cd3 Cd 0.731 0.731 0.793
Cd4 Cd 0.906 0.906 0.603
O1 O 0.305 0.305 0.688
O2 O 0.500 0.500 0.500
O3 O 0.695 0.695 0.312
F1 F 0.131 0.131 0.884
F2 F 0.869 0.869 0.116
# - total energy (eV per atom) = -3.849
# - Fermi-level density of states (states/eV per atom) = 0.087
# - M_tot (μB per cell) = 0.00
# - E_form (uncorrected) (eV per atom) = -1.374

=====

No. 2
# VSiMo PBE relaxed
data_VSiMo
_chemical_formula_sum 'V2 Si2 Mo2'
_cell_length_a 3.222
_cell_length_b 4.344
_cell_length_c 6.209
_cell_angle_alpha 90.00
_cell_angle_beta 104.98
_cell_angle_gamma 90.00
_space_group_name_H-M_alt 'P 1'
_space_group_IT_number 1
loop_
_space_group_symop_operation_xyz
'x,y,z'
loop_
_atom_site_label
_atom_site_type_symbol
_atom_site_fract_x
_atom_site_fract_y
_atom_site_fract_z
V1 V 0.089 0.250 0.178
V2 V 0.911 0.750 0.822
Si1 Si 0.253 0.750 0.506
Si2 Si 0.747 0.250 0.494
Mo1 Mo 0.409 0.250 0.818
Mo2 Mo 0.591 0.750 0.182
# - total energy (eV per atom) = -8.702
# - Fermi-level density of states (states/eV per atom) = 0.629
# - M_tot (μB per cell) = 0.00
# - E_form (uncorrected) (eV per atom) = -0.244

=====

No. 3
# BaCaCuPt PBE relaxed
data_BaCaCuPt
_chemical_formula_sum 'Ba1 Ca1 Cu1 Pt1'
_cell_length_a 5.275
_cell_length_b 5.275
_cell_length_c 5.275
_cell_angle_alpha 60.00
_cell_angle_beta 60.00
_cell_angle_gamma 60.00
_space_group_name_H-M_alt 'P 1'
_space_group_IT_number 1
loop_
_space_group_symop_operation_xyz
'x,y,z'
loop_
_atom_site_label
_atom_site_type_symbol
_atom_site_fract_x
_atom_site_fract_y
_atom_site_fract_z
Ba1 Ba 0.000 0.000 0.000
Ca1 Ca 0.500 0.500 0.500
Cu1 Cu 0.250 0.250 0.250
Pt1 Pt 0.750 0.750 0.750
# - total energy (eV per atom) = -3.858
# - Fermi-level density of states (states/eV per atom) = 0.518
# - M_tot (μB per cell) = 0.00

=====

No. 4
# Mg2TaAs PBE relaxed
data_Mg2TaAs
_chemical_formula_sum 'Mg2 Ta1 As1'
_cell_length_a 4.714
_cell_length_b 4.714
_cell_length_c 4.714
_cell_angle_alpha 60.00
_cell_angle_beta 60.00
_cell_angle_gamma 60.00
_space_group_name_H-M_alt 'P 1'
_space_group_IT_number 1
loop_
_space_group_symop_operation_xyz
'x,y,z'
loop_
_atom_site_label
_atom_site_type_symbol
_atom_site_fract_x
_atom_site_fract_y
_atom_site_fract_z
Mg1 Mg 0.000 0.000 0.000
Mg2 Mg 0.250 0.250 0.250
Ta1 Ta 0.750 0.750 0.750
As1 As 0.500 0.500 0.500
# - total energy (eV per atom) = -4.568
# - Fermi-level density of states (states/eV per atom) = 0.861
# - M_tot (μB per cell) = 0.00

=====

No. 5
# Cs3AgHg2F8 PBE relaxed
data_Cs3AgHg2F8
_chemical_formula_sum 'Cs3 Ag1 Hg2 F8'
_cell_length_a 6.520
_cell_length_b 6.520
_cell_length_c 8.772
_cell_angle_alpha 90.00
_cell_angle_beta 90.00
_cell_angle_gamma 120.00
_space_group_name_H-M_alt 'P 1'
_space_group_IT_number 1
loop_
_space_group_symop_operation_xyz
'x,y,z'
loop_
_atom_site_label
_atom_site_type_symbol
_atom_site_fract_x
_atom_site_fract_y
_atom_site_fract_z
Cs1 Cs 0.000 0.000 0.000
Cs2 Cs 0.333 0.667 0.619
Cs3 Cs 0.667 0.333 0.381
Ag1 Ag 0.000 0.000 0.500
Hg1 Hg 0.333 0.667 0.185
Hg2 Hg 0.667 0.333 0.815
F1 F 0.165 0.330 0.322
F2 F 0.165 0.835 0.322
F3 F 0.330 0.165 0.678
F4 F 0.333 0.667 0.942
F5 F 0.667 0.333 0.058
F6 F 0.670 0.835 0.322
F7 F 0.835 0.165 0.678
F8 F 0.835 0.670 0.678
# - total energy (eV per atom) = -3.403
# - M_tot (μB per cell) = 0.00
# - E_form (uncorrected) (eV per atom) = -1.904

=====

No. 6
# RbPaAg2Te4 PBE relaxed
data_RbPaAg2Te4
_chemical_formula_sum 'Rb1 Pa1 Ag2 Te4'
_cell_length_a 7.375
_cell_length_b 7.375
_cell_length_c 7.375
_cell_angle_alpha 121.09
_cell_angle_beta 107.64
_cell_angle_gamma 100.40
_space_group_name_H-M_alt 'P 1'
_space_group_IT_number 1
loop_
_space_group_symop_operation_xyz
'x,y,z'
loop_
_atom_site_label
_atom_site_type_symbol
_atom_site_fract_x
_atom_site_fract_y
_atom_site_fract_z
Rb1 Rb 0.000 0.000 0.000
Pa1 Pa 0.500 0.500 0.000
Ag1 Ag 0.349 0.849 0.500
Ag2 Ag 0.651 0.151 0.500
Te1 Te 0.116 0.103 0.582
Te2 Te 0.479 0.897 0.013
Te3 Te 0.521 0.534 0.418
Te4 Te 0.884 0.466 0.987
# - total energy (eV per atom) = -4.028
# - M_tot (μB per cell) = 0.00
# - E_form (uncorrected) (eV per atom) = -0.437

=====

No. 7
# TbBIrRh PBE relaxed
data_TbBIrRh
_chemical_formula_sum 'Tb1 B1 Ir1 Rh1'
_cell_length_a 5.281
_cell_length_b 5.281
_cell_length_c 5.281
_cell_angle_alpha 139.54
_cell_angle_beta 136.52
_cell_angle_gamma 60.89
_space_group_name_H-M_alt 'P 1'
_space_group_IT_number 1
loop_
_space_group_symop_operation_xyz
'x,y,z'
loop_
_atom_site_label
_atom_site_type_symbol
_atom_site_fract_x
_atom_site_fract_y
_atom_site_fract_z
Tb1 Tb 0.000 0.000 0.000
B1 B 0.751 0.251 0.500
Ir1 Ir 0.644 0.644 0.000
Rh1 Rh 0.350 0.350 0.000
# - total energy (eV per atom) = -7.381
# - Fermi-level density of states (states/eV per atom) = 0.871
# - M_tot (μB per cell) = 0.00

=====

No. 8
# SrSc2Pd PBE relaxed
data_SrSc2Pd
_chemical_formula_sum 'Sr2 Sc4 Pd2'
_cell_length_a 9.712
_cell_length_b 9.712
_cell_length_c 9.712
_cell_angle_alpha 146.36
_cell_angle_beta 146.36
_cell_angle_gamma 48.31
_space_group_name_H-M_alt 'P 1'
_space_group_IT_number 1
loop_
_space_group_symop_operation_xyz
'x,y,z'
loop_
_atom_site_label
_atom_site_type_symbol
_atom_site_fract_x
_atom_site_fract_y
_atom_site_fract_z
Sr1 Sr 0.375 0.625 0.750
Sr2 Sr 0.625 0.375 0.250
Sc1 Sc 0.000 0.000 0.000
Sc2 Sc 0.000 0.000 0.500
Sc3 Sc 0.000 0.500 0.000
Sc4 Sc 0.500 0.000 0.500
Pd1 Pd 0.125 0.875 0.250
Pd2 Pd 0.875 0.125 0.750
# - total energy (eV per atom) = -4.559
# - Fermi-level density of states (states/eV per atom) = 1.540
# - M_tot (μB per cell) = 2.59

=====

> total energy of number 4 (Mg2TaAs)?

-4.568 eV per atom